Density functional theory data (PBE-GGA) for Nd6Si2Se3S after structural relaxation.

a b c (Å): 9.4969 9.4969 8.4995
angles (deg): 103.62 103.62 25.70
Positions (direct):
Nd1 0.0047 0.0047 0.2447
Nd2 0.3310 0.3310 0.4230
Nd3 0.3355 0.3355 0.9076
Nd4 0.6645 0.6645 0.0924
Nd5 0.6690 0.6690 0.5770
Nd6 0.9953 0.9953 0.7553
Si1 0.1657 0.1657 0.3311
Si2 0.8343 0.8343 0.6689
Se1 0.1657 0.1657 0.8348
Se2 0.5000 0.5000 0.5000
Se3 0.8343 0.8343 0.1652
S1 0.5000 0.5000 0.0000

Properties
- uncorrected energy (eV for the cell shown) = -72.6
- raw formation energy (eV/atom) = -1.54